CoC (GGA-PBE, relaxed); magnetic moment = 0.00 μB per cell; density of states at the Fermi level = 2.20 states/eV per cell; total DFT energy (no corrections) = -7.282 eV/atom; ΔH_f (0 K) = 0.882 eV per atom; density = 6.20 g/cm3
1.0
5.3256 -1.2544 0.0000
5.3256 1.2544 0.0000
-0.8073 0.0000 2.8457
Co C
2 2
direct
0.1588 0.1588 0.1598
0.8412 0.8412 0.8402
0.3527 0.3527 0.3514
0.6473 0.6473 0.6486

Co3C5 (GGA-PBE, relaxed); magnetic moment = 0.56 μB per cell; density of states at the Fermi level = 7.93 states/eV per cell; total DFT energy (no corrections) = -6.852 eV/atom; ΔH_f (0 K) = 1.577 eV per atom; density = 3.89 g/cm3; excess energy over the best structure of this formula in the dataset = 64.1 kJ per mole of atoms
1.0
2.2111 -2.9273 0.0000
2.2111 2.9273 0.0000
0.0000 0.0000 7.8158
Co C
3 5
direct
0.0000 0.0000 0.0000
0.2974 0.7026 0.5000
0.7026 0.2974 0.5000
0.0000 0.5000 0.0000
0.1675 0.1675 0.5000
0.5000 0.0000 0.0000
0.5000 0.5000 0.0000
0.8325 0.8325 0.5000

CoC2 (GGA-PBE, relaxed); magnetic moment = 0.44 μB per cell; density of states at the Fermi level = 1.35 states/eV per cell; total DFT energy (no corrections) = -7.585 eV/atom; ΔH_f (0 K) = 0.933 eV per atom; density = 5.66 g/cm3; excess energy over the best structure of this formula in the dataset = 42.7 kJ per mole of atoms
1.0
-1.3185 2.1118 2.1861
1.3185 -2.1118 2.1861
1.3185 2.1118 -2.1861
Co C
1 2
direct
0.0000 0.0000 0.0000
0.3403 0.5000 0.8403
0.6597 0.5000 0.1597